Entry 1:
LiReOF2 | GGA-PBE | relaxed

a = 4.2563 Å, b = 4.2563 Å, c = 3.8078 Å
α = 90.00°, β = 90.00°, γ = 90.00°
Fractional coordinates of all 5 atoms:
1 Li 0.0000 0.0000 0.0000
2 Re 0.5000 0.5000 0.5000
3 O 0.5000 0.5000 0.0000
4 F 0.0000 0.5000 0.5000
5 F 0.5000 0.0000 0.5000

The space-group type is P4/mmm (123). The formation energy (no corrections) comes out at -1333 meV per atom. The volume is 69.0 Å³ per cell. The energy above the most stable polymorph in this dataset is 0 meV/atom.

=====

Entry 2:
LiReO2F4 | GGA-PBE | relaxed

a = 4.8291 Å, b = 4.8291 Å, c = 9.2216 Å
α = 90.00°, β = 90.00°, γ = 90.00°
Fractional coordinates of all 16 atoms:
1 Li 0.0000 0.5000 0.0799
2 Li 0.5000 0.0000 0.9201
3 Re 0.0000 0.5000 0.7310
4 Re 0.5000 0.0000 0.2690
5 O 0.1951 0.6951 0.6146
6 O 0.3049 0.1951 0.3854
7 O 0.6951 0.8049 0.3854
8 O 0.8049 0.3049 0.6146
9 F 0.1849 0.6849 0.9066
10 F 0.2250 0.7250 0.2343
11 F 0.2750 0.2250 0.7657
12 F 0.3151 0.1849 0.0934
13 F 0.6849 0.8151 0.0934
14 F 0.7250 0.7750 0.7657
15 F 0.7750 0.2750 0.2343
16 F 0.8151 0.3151 0.9066

The space-group type is P-42_1m (113). The formation energy (no corrections) comes out at -2228 meV per atom. The volume is 215.1 Å³ per cell.

=====

Entry 3:
LiSO3F | GGA-PBE | relaxed

a = 5.7547 Å, b = 5.7547 Å, c = 5.3838 Å
α = 91.36°, β = 91.36°, γ = 83.43°
Fractional coordinates of all 12 atoms:
1 Li 0.1927 0.8073 0.0000
2 Li 0.8073 0.1927 0.0000
3 S 0.2932 0.2932 0.2530
4 S 0.7068 0.7068 0.7470
5 O 0.1318 0.1318 0.1545
6 O 0.2153 0.5367 0.2100
7 O 0.4633 0.7847 0.7900
8 O 0.5367 0.2153 0.2100
9 O 0.7847 0.4633 0.7900
10 O 0.8682 0.8682 0.8455
11 F 0.2715 0.2715 0.5469
12 F 0.7285 0.7285 0.4531

The space-group type is C2/m (12). The formation energy (no corrections) comes out at -1802 meV per atom. The volume is 177.0 Å³ per cell.

=====

Entry 4:
LiSOF2 | GGA-PBE | relaxed

a = 4.4127 Å, b = 4.4127 Å, c = 3.4729 Å
α = 90.00°, β = 90.00°, γ = 90.00°
Fractional coordinates of all 5 atoms:
1 Li 0.0000 0.0000 0.0000
2 S 0.5000 0.5000 0.5000
3 O 0.5000 0.5000 0.0000
4 F 0.0000 0.5000 0.5000
5 F 0.5000 0.0000 0.5000

The space-group type is P4/mmm (123). The formation energy (no corrections) comes out at -1098 meV per atom. The volume is 67.6 Å³ per cell. The energy above the most stable polymorph in this dataset is 0 meV/atom.

=====

Entry 5:
LiSOF2 | GGA-PBE | relaxed

a = 3.4811 Å, b = 3.4811 Å, c = 4.0552 Å
α = 90.00°, β = 90.00°, γ = 90.00°
Fractional coordinates of all 5 atoms:
1 Li 0.0000 0.0000 0.0000
2 S 0.5000 0.5000 0.5000
3 O 0.0000 0.0000 0.5000
4 F 0.0000 0.5000 0.0000
5 F 0.5000 0.0000 0.0000

The space-group type is P4/mmm (123). The formation energy (no corrections) comes out at -493 meV per atom. The volume is 49.1 Å³ per cell. The energy above the most stable polymorph in this dataset is 605 meV/atom.

=====

Quick rundown of calculated total energy, same order as above: -29.726; -99.168; -67.202; -20.234; -17.209 eV for the cell shown
Quick rundown of N(E_F), same order as above: 0.40; 0.00; 0.00; 0.20; 0.39 states/eV per atom
Quick rundown of magnetic moment, same order as above: 0.00; 0.07; 0.00; 0.00; 0.69 μB/f.u.